Entry 1:
Computed, not measured: a geometry-optimized Cu2AgRh structure at the GGA-PBE level of DFT.

```
data_Cu2AgRh
_space_group_name_H-M_alt 'R 3 m'
_space_group_IT_number 160
_space_group_name_Hall 'R 3 -2"'
_cell_length_a 2.7299
_cell_length_b 2.7299
_cell_length_c 26.3884
_cell_angle_alpha 90.00
_cell_angle_beta 90.00
_cell_angle_gamma 120.00
loop_
_atom_site_label
_atom_site_type_symbol
_atom_site_fract_x
_atom_site_fract_y
_atom_site_fract_z
Cu1 Cu 0.0000 0.0000 0.0000
Cu2 Cu 0.0000 0.0000 0.1734
Ag1 Ag 0.0000 0.0000 0.4199
Rh1 Rh 0.0000 0.0000 0.5868
```

Calculated values
E_tot = -17.94 eV per formula unit


Entry 2:
Computed, not measured: a geometry-optimized Cu2AgRh2 structure at the GGA-PBE level of DFT.

```
data_Cu2AgRh2
_space_group_name_H-M_alt 'P 4/m b m'
_space_group_IT_number 127
_space_group_name_Hall '-P 4 2ab'
_cell_length_a 7.3682
_cell_length_b 7.3682
_cell_length_c 2.7248
_cell_angle_alpha 90.00
_cell_angle_beta 90.00
_cell_angle_gamma 90.00
loop_
_atom_site_label
_atom_site_type_symbol
_atom_site_fract_x
_atom_site_fract_y
_atom_site_fract_z
Cu1 Cu 0.1690 0.3310 0.0000
Ag1 Ag 0.0000 0.0000 0.5000
Rh1 Rh 0.1277 0.6277 0.5000
```

Calculated values
E_tot = -24.44 eV per formula unit


Entry 3:
Computed, not measured: a geometry-optimized Cu2AgRh structure at the GGA-PBE level of DFT.

```
data_Cu2AgRh
_space_group_name_H-M_alt 'C m m 2'
_space_group_IT_number 35
_space_group_name_Hall 'C 2 -2'
_cell_length_a 2.8439
_cell_length_b 4.5119
_cell_length_c 8.9320
_cell_angle_alpha 90.00
_cell_angle_beta 90.00
_cell_angle_gamma 90.00
loop_
_atom_site_label
_atom_site_type_symbol
_atom_site_fract_x
_atom_site_fract_y
_atom_site_fract_z
Cu1 Cu 0.0000 0.0000 0.0000
Cu2 Cu 0.0000 0.5000 0.2267
Ag1 Ag 0.0000 0.0000 0.4839
Rh1 Rh 0.0000 0.5000 0.7595
```

Calculated values
E_tot = -17.65 eV per formula unit


Entry 4:
Computed, not measured: a geometry-optimized Cu2AgRh structure at the GGA-PBE level of DFT.

```
data_Cu2AgRh
_space_group_name_H-M_alt 'P 4/m m m'
_space_group_IT_number 123
_space_group_name_Hall '-P 4 2'
_cell_length_a 4.3809
_cell_length_b 4.3809
_cell_length_c 2.9111
_cell_angle_alpha 90.00
_cell_angle_beta 90.00
_cell_angle_gamma 90.00
loop_
_atom_site_label
_atom_site_type_symbol
_atom_site_fract_x
_atom_site_fract_y
_atom_site_fract_z
Cu1 Cu 0.0000 0.5000 0.0000
Ag1 Ag 0.0000 0.0000 0.5000
Rh1 Rh 0.5000 0.5000 0.5000
```

Calculated values
E_tot = -17.96 eV per formula unit


Entry 5:
Computed, not measured: a geometry-optimized Cu2AgRh structure at the GGA-PBE level of DFT.

```
data_Cu2AgRh
_space_group_name_H-M_alt 'C 1 2/m 1'
_space_group_IT_number 12
_space_group_name_Hall '-C 2y'
_cell_length_a 8.7708
_cell_length_b 2.7231
_cell_length_c 4.8445
_cell_angle_alpha 90.00
_cell_angle_beta 99.92
_cell_angle_gamma 90.00
loop_
_atom_site_label
_atom_site_type_symbol
_atom_site_fract_x
_atom_site_fract_y
_atom_site_fract_z
Cu1 Cu 0.2462 0.0000 0.2331
Ag1 Ag 0.0000 0.0000 0.5000
Rh1 Rh 0.0000 0.5000 0.0000
```

Calculated values
E_tot = -17.74 eV per formula unit


Entry 6:
Computed, not measured: a geometry-optimized Cu2AgRh structure at the GGA-PBE level of DFT.

```
data_Cu2AgRh
_space_group_name_H-M_alt 'C m m m'
_space_group_IT_number 65
_space_group_name_Hall '-C 2 2'
_cell_length_a 5.7805
_cell_length_b 6.9286
_cell_length_c 2.7947
_cell_angle_alpha 90.00
_cell_angle_beta 90.00
_cell_angle_gamma 90.00
loop_
_atom_site_label
_atom_site_type_symbol
_atom_site_fract_x
_atom_site_fract_y
_atom_site_fract_z
Cu1 Cu 0.2500 0.2500 0.0000
Ag1 Ag 0.0000 0.0000 0.5000
Rh1 Rh 0.0000 0.5000 0.5000
```

Calculated values
E_tot = -17.97 eV per formula unit


Entry 7:
Computed, not measured: a geometry-optimized Cu2AgRh structure at the GGA-PBE level of DFT.

```
data_Cu2AgRh
_space_group_name_H-M_alt 'I -4 2 d'
_space_group_IT_number 122
_space_group_name_Hall 'I -4 2bw'
_cell_length_a 3.7530
_cell_length_b 3.7530
_cell_length_c 17.8165
_cell_angle_alpha 90.00
_cell_angle_beta 90.00
_cell_angle_gamma 90.00
loop_
_atom_site_label
_atom_site_type_symbol
_atom_site_fract_x
_atom_site_fract_y
_atom_site_fract_z
Cu1 Cu 0.2378 0.2500 0.1250
Ag1 Ag 0.0000 0.0000 0.5000
Rh1 Rh 0.0000 0.0000 0.0000
```

Calculated values
E_tot = -16.36 eV per formula unit


Entry 8:
Computed, not measured: a geometry-optimized Cu2AgRh structure at the GGA-PBE level of DFT.

```
data_Cu2AgRh
_space_group_name_H-M_alt 'R -3 m'
_space_group_IT_number 166
_space_group_name_Hall '-R 3 2"'
_cell_length_a 2.7285
_cell_length_b 2.7285
_cell_length_c 26.4626
_cell_angle_alpha 90.00
_cell_angle_beta 90.00
_cell_angle_gamma 120.00
loop_
_atom_site_label
_atom_site_type_symbol
_atom_site_fract_x
_atom_site_fract_y
_atom_site_fract_z
Cu1 Cu 0.0000 0.0000 0.2468
Ag1 Ag 0.0000 0.0000 0.0000
Rh1 Rh 0.0000 0.0000 0.5000
```

Calculated values
E_tot = -17.88 eV per formula unit


Entry 9:
Computed, not measured: a geometry-optimized Cu2AgRh structure at the GGA-PBE level of DFT.

```
data_Cu2AgRh
_space_group_name_H-M_alt 'P 1 m 1'
_space_group_IT_number 6
_space_group_name_Hall 'P -2y'
_cell_length_a 2.6759
_cell_length_b 4.2068
_cell_length_c 5.1944
_cell_angle_alpha 90.00
_cell_angle_beta 104.79
_cell_angle_gamma 90.00
loop_
_atom_site_label
_atom_site_type_symbol
_atom_site_fract_x
_atom_site_fract_y
_atom_site_fract_z
Cu1 Cu 0.0000 0.0000 0.0000
Cu2 Cu 0.1383 0.5000 0.2669
Ag1 Ag 0.3920 0.5000 0.7804
Rh1 Rh 0.7333 0.0000 0.4622
```

Calculated values
E_tot = -17.82 eV per formula unit


Entry 10:
Computed, not measured: a geometry-optimized Cu2AgRh structure at the GGA-PBE level of DFT.

```
data_Cu2AgRh
_space_group_name_H-M_alt 'C 1 m 1'
_space_group_IT_number 8
_space_group_name_Hall 'C -2y'
_cell_length_a 9.3924
_cell_length_b 2.7526
_cell_length_c 4.5540
_cell_angle_alpha 90.00
_cell_angle_beta 107.67
_cell_angle_gamma 90.00
loop_
_atom_site_label
_atom_site_type_symbol
_atom_site_fract_x
_atom_site_fract_y
_atom_site_fract_z
Cu1 Cu 0.0000 0.0000 0.0000
Cu2 Cu 0.2263 0.5000 0.3017
Ag1 Ag 0.2454 0.0000 0.8116
Rh1 Rh 0.4756 0.0000 0.4783
```

Calculated values
E_tot = -17.90 eV per formula unit


Entry 11:
Computed, not measured: a geometry-optimized Cu2AgRh structure at the GGA-PBE level of DFT.

```
data_Cu2AgRh
_space_group_name_H-M_alt 'I -4 m 2'
_space_group_IT_number 119
_space_group_name_Hall 'I -4 -2'
_cell_length_a 3.7918
_cell_length_b 3.7918
_cell_length_c 7.8640
_cell_angle_alpha 90.00
_cell_angle_beta 90.00
_cell_angle_gamma 90.00
loop_
_atom_site_label
_atom_site_type_symbol
_atom_site_fract_x
_atom_site_fract_y
_atom_site_fract_z
Cu1 Cu 0.0000 0.0000 0.0000
Cu2 Cu 0.0000 0.5000 0.2500
Ag1 Ag 0.0000 0.0000 0.5000
Rh1 Rh 0.0000 0.5000 0.7500
```

Calculated values
E_tot = -17.71 eV per formula unit


Entry 12:
Computed, not measured: a geometry-optimized Cu2AgRh structure at the GGA-PBE level of DFT.

```
data_Cu2AgRh
_space_group_name_H-M_alt 'P m m 2'
_space_group_IT_number 25
_space_group_name_Hall 'P 2 -2'
_cell_length_a 2.6960
_cell_length_b 3.7744
_cell_length_c 5.5698
_cell_angle_alpha 90.00
_cell_angle_beta 90.00
_cell_angle_gamma 90.00
loop_
_atom_site_label
_atom_site_type_symbol
_atom_site_fract_x
_atom_site_fract_y
_atom_site_fract_z
Cu1 Cu 0.0000 0.0000 0.0000
Cu2 Cu 0.5000 0.5000 0.2344
Ag1 Ag 0.5000 0.5000 0.7478
Rh1 Rh 0.0000 0.0000 0.4634
```

Calculated values
E_tot = -17.73 eV per formula unit


Short version: V = 14.2 14.8 14.3 14.0 14.2 14.0 15.7 14.2 14.1 14.0 14.1 14.2 Å³ per atom, in the order given.
Short version: energy above the lowest structure with this stoichiometry = 0.007 0.003 0.080 0.003 0.057 0.000 0.402 0.023 0.036 0.017 0.064 0.059 eV per atom, in the order given.
Short version: energy of formation from the pure elements = 0.45 1.30 0.74 0.44 0.65 0.43 2.03 0.52 0.57 0.49 0.68 0.66 eV per formula unit, in the order given.